BaZnPd4 | PBE | optimized geometry

The energy relative to the elements is -0.278 eV per atom. The magnetic moment is 0.0 Bohr magnetons per cell. The total energy is -102.5 eV for the cell shown.

The space group is F-43m (No. 216) and the conventional cell measures 7.8028, 7.8028 and 7.8028 Å, with angles of 90.00, 90.00 and 90.00 degrees. The asymmetric unit holds Ba at (0.0000, 0.0000, 0.0000), Zn at (0.2500, 0.2500, 0.7500) and Pd at (0.1241, 0.1241, 0.3759).



BaZn6Pd2 | PBE | optimized geometry

The energy relative to the elements is -0.230 eV per atom. The magnetic moment is 0.0 Bohr magnetons per cell. The total energy is -44.0 eV for the cell shown.

The space group is Immm (No. 71) and the conventional cell measures 4.2349, 7.3227 and 11.4925 Å, with angles of 90.00, 90.00 and 90.00 degrees. The asymmetric unit holds Ba at (0.0000, 0.0000, 0.0000), Zn at (0.0000, 0.1637, 0.5000), Zn at (0.0000, 0.1915, 0.2872) and Pd at (0.0000, 0.5000, 0.1362).



Ba3Zn3Pd2 | PBE | optimized geometry

The energy relative to the elements is -0.422 eV per atom. The magnetic moment is 0.0 Bohr magnetons per cell. The total energy is -93.4 eV for the cell shown.

The space group is Cmcm (No. 63) and the conventional cell measures 4.5246, 12.0255 and 16.6802 Å, with angles of 90.00, 90.00 and 90.00 degrees. The asymmetric unit holds Ba at (0.0000, 0.0663, 0.1028), Ba at (0.0000, 0.3586, 0.2500), Zn at (0.0000, 0.3313, 0.0360), Zn at (0.0000, 0.3392, 0.7500) and Pd at (0.0000, 0.2271, 0.6082).



BaZn2Pd2 | PBE | optimized geometry

The energy relative to the elements is -0.501 eV per atom. The magnetic moment is 0.0 Bohr magnetons per cell. The total energy is -34.7 eV for the cell shown.

The space group is I4/mmm (No. 139) and the conventional cell measures 4.4827, 4.4827 and 10.8976 Å, with angles of 90.00, 90.00 and 90.00 degrees. The asymmetric unit holds Ba at (0.0000, 0.0000, 0.0000), Zn at (0.0000, 0.5000, 0.2500) and Pd at (0.0000, 0.0000, 0.3710).



Ba4Zn3Pd2 | PBE | optimized geometry

The energy relative to the elements is -0.339 eV per atom. The magnetic moment is 0.0 Bohr magnetons per cell. The total energy is -49.9 eV for the cell shown.

The space group is C2/m (No. 12) and the conventional cell measures 17.5015, 4.2517 and 8.0439 Å, with angles of 90.00, 109.95 and 90.00 degrees. The asymmetric unit holds Ba at (0.0747, 0.0000, 0.3862), Ba at (0.2302, 0.5000, 0.1892), Zn at (0.0000, 0.5000, 0.0000), Zn at (0.0932, 0.5000, 0.7651) and Pd at (0.0860, 0.0000, 0.9579).



Ba6ZnPd | PBE | optimized geometry

The energy relative to the elements is 0.073 eV per atom. The magnetic moment is 0.0 Bohr magnetons per cell. The total energy is -52.3 eV for the cell shown.

The space group is R-3m (No. 166, hexagonal axes) and the conventional cell measures 17.0157, 17.0157 and 5.0972 Å, with angles of 90.00, 90.00 and 120.00 degrees. The asymmetric unit holds Ba at (0.1056, 0.2111, 0.2289), Zn at (0.0000, 0.0000, 0.5000) and Pd at (0.0000, 0.0000, 0.0000).



Ba4Zn3Pd | PBE | optimized geometry

The energy relative to the elements is -0.283 eV per atom. The magnetic moment is 0.0 Bohr magnetons per cell. The total energy is -19.0 eV for the cell shown.

The space group is Pmm2 (No. 25) and the conventional cell measures 4.7229, 4.7594 and 12.5970 Å, with angles of 90.00, 90.00 and 90.00 degrees. The asymmetric unit holds Ba at (0.0000, 0.0000, 0.0000), Ba at (0.0000, 0.5000, 0.4830), Ba at (0.5000, 0.0000, 0.7089), Ba at (0.5000, 0.5000, 0.2123), Zn at (0.0000, 0.5000, 0.7998), Zn at (0.5000, 0.0000, 0.4028), Zn at (0.5000, 0.5000, 0.9092) and Pd at (0.0000, 0.0000, 0.3010).



Ba4Zn2Pd | PBE | optimized geometry

The energy relative to the elements is -0.143 eV per atom. The magnetic moment is 0.0 Bohr magnetons per cell. The total energy is -32.9 eV for the cell shown.

The space group is I4/mmm (No. 139) and the conventional cell measures 6.3291, 6.3291 and 15.8559 Å, with angles of 90.00, 90.00 and 90.00 degrees. The asymmetric unit holds Ba at (0.0000, 0.0000, 0.2005), Ba at (0.0000, 0.5000, 0.0000), Zn at (0.0000, 0.0000, 0.4145) and Pd at (0.0000, 0.0000, 0.0000).



Question: Which of these has the lowest energy relative to the elements?
Answer: BaZn2Pd2